(1)
A PBEsol-optimized structure of YCr2CdH. Source: the Alexandria database, functional meta-GGA SCAN.

Results
* total energy: -18.4743 eV per atom
* size of the total moment: 8.9 μB per cell
* DOS at the Fermi energy: 3.5 states/eV/cell

a b c (Å): 4.9799 4.9799 5.6266
angles (deg): 90.00 90.00 90.00
Closest atoms and distances in Å follow each position.
Space group P4/mmm (No. 123)
Symmetry-distinct sites (fractional):
Y 0.0000 0.0000 0.0000 x1  2 Cd 2.81
Cr 0.0000 0.5000 0.5000 x2  2 Cd 2.49
Cd 0.0000 0.0000 0.5000 x1  4 Cr 2.49
H 0.5000 0.5000 0.0000 x1  4 Y 3.52, 8 Cr 3.76


(2)
A PBEsol-optimized structure of HfCrCdTe2. Source: the Alexandria database, functional meta-GGA SCAN.

Results
* uncorrected formation energy: 4.94 eV per formula unit
* size of the total moment: 3.4 μB per cell
* DOS at the Fermi energy: 2.1 states/eV/cell

a b c (Å): 5.3826 5.3826 4.8282
angles (deg): 90.00 90.00 90.00
Closest atoms and distances in Å follow each position.
Space group P4/mmm (No. 123)
Symmetry-distinct sites (fractional):
Hf 0.0000 0.0000 0.0000 x1  8 Te 3.62, 4 Cr 3.81
Cr 0.5000 0.5000 0.0000 x1  2 Cd 2.41
Cd 0.5000 0.5000 0.5000 x1  2 Cr 2.41, 4 Te 2.69
Te 0.0000 0.5000 0.5000 x2  2 Cd 2.69


(3)
A PBEsol-optimized structure of CrCdHg2. Source: the Alexandria database, functional meta-GGA SCAN.

Results
* energy of formation from the pure elements: 0.103 eV per atom
* size of the total moment: 8.6 μB per cell
* DOS at the Fermi energy: 2.7 states/eV/cell

a b c (Å): 4.1816 4.1955 8.8613
angles (deg): 90.00 90.00 90.00
Closest atoms and distances in Å follow each position.
Space group Imm2 (No. 44)
Symmetry-distinct sites (fractional):
Cr 0.0000 0.0000 0.0000 x2  8 Hg 2.96-3.05, 4 Cd 3.05
Cd 0.0000 0.5000 0.2500 x2  8 Hg 2.96-3.05, 4 Cr 3.05
Hg 0.0000 0.0000 0.4997 x2  4 Cr 2.96, 4 Hg 3.05, 4 Cd 3.05
Hg 0.0000 0.5000 0.7496 x2  4 Cd 2.96, 4 Cr 3.04-3.05, 4 Hg 3.05


(4)
A PBEsol-optimized structure of CrCd2Hg. Source: the Alexandria database, functional meta-GGA SCAN.

Results
* energy of formation from the pure elements: 0.080 eV per atom
* size of the total moment: 8.6 μB per cell
* DOS at the Fermi energy: 2.7 states/eV/cell

a b c (Å): 4.1767 4.1767 8.7994
angles (deg): 90.00 90.00 90.00
Closest atoms and distances in Å follow each position.
Space group I4/mmm (No. 139)
Symmetry-distinct sites (fractional):
Cr 0.0000 0.0000 0.0000 x2  4 Hg 2.95, 8 Cd 3.03
Cd 0.0000 0.5000 0.2500 x4  4 Cd 2.95, 4 Cr 3.03, 4 Hg 3.03
Hg 0.0000 0.0000 0.5000 x2  4 Cr 2.95, 8 Cd 3.03


(5)
A PBEsol-optimized structure of CrCd2Hg. Source: the Alexandria database, functional meta-GGA SCAN.

Results
* energy of formation from the pure elements: 0.109 eV per atom
* size of the total moment: 8.2 μB per cell
* DOS at the Fermi energy: 3.2 states/eV/cell

a b c (Å): 9.6079 3.1240 5.2317
angles (deg): 90.00 101.38 90.00
Closest atoms and distances in Å follow each position.
Space group Cm (No. 8)
Symmetry-distinct sites (fractional):
Cr 0.0000 0.0000 0.0000 x2  3 Hg 2.87-2.96, 7 Cd 2.90-3.06, 2 Cr 3.12
Cd 0.0010 0.5000 0.4975 x2  5 Cd 2.90-3.12, 3 Hg 2.97-3.02, 4 Cr 3.03-3.06
Cd 0.2447 0.5000 0.2461 x2  5 Cd 2.90-3.12, 3 Cr 2.90-2.99, 4 Hg 2.97-3.13
Hg 0.2572 0.0000 0.7687 x2  3 Cr 2.87-2.96, 7 Cd 2.97-3.13, 2 Hg 3.12


(6)
A PBEsol-optimized structure of CrCd2Hg. Source: the Alexandria database, functional meta-GGA SCAN.

Results
* energy of formation from the pure elements: 0.099 eV per atom
* size of the total moment: 3.9 μB per cell
* DOS at the Fermi energy: 1.5 states/eV/cell

a b c (Å): 3.0884 3.0884 7.9864
angles (deg): 90.00 90.00 90.00
Closest atoms and distances in Å follow each position.
Space group P4mm (No. 99)
Symmetry-distinct sites (fractional):
Cr 0.0000 0.0000 0.0000 x1  4 Hg 2.84, 4 Cd 2.87, 4 Cr 3.09
Cd 0.0000 0.0000 0.4984 x1  8 Cd 3.06-3.09, 4 Hg 3.08
Cd 0.5000 0.5000 0.7661 x1  4 Cr 2.87, 8 Cd 3.06-3.09
Hg 0.5000 0.5000 0.2267 x1  4 Cr 2.84, 4 Cd 3.08, 4 Hg 3.09


(7)
A PBEsol-optimized structure of CrCd2HgSb. Source: the Alexandria database, functional meta-GGA SCAN.

Results
* uncorrected formation energy: 2.92 eV per formula unit
* size of the total moment: 4.3 μB per cell
* DOS at the Fermi energy: 2.7 states/eV/cell

a b c (Å): 5.1640 5.1640 5.1357
angles (deg): 90.00 90.00 90.00
Closest atoms and distances in Å follow each position.
Space group P4/mmm (No. 123)
Symmetry-distinct sites (fractional):
Cr 0.0000 0.0000 0.0000 x1  2 Hg 2.57
Cd 0.0000 0.5000 0.5000 x2  2 Hg 2.58
Hg 0.0000 0.0000 0.5000 x1  2 Cr 2.57, 4 Cd 2.58
Sb 0.5000 0.5000 0.0000 x1  8 Cd 3.64, 4 Cr 3.65


(8)
A PBEsol-optimized structure of CrCdI2N. Source: the Alexandria database, functional meta-GGA SCAN.

Results
* uncorrected formation energy: 3.56 eV per formula unit
* size of the total moment: 6.8 μB per cell
* DOS at the Fermi energy: 3.3 states/eV/cell

a b c (Å): 5.9110 5.9110 4.1161
angles (deg): 90.00 90.00 90.00
Closest atoms and distances in Å follow each position.
Space group P4/mmm (No. 123)
Symmetry-distinct sites (fractional):
Cr 0.0000 0.0000 0.0000 x1  8 I 3.60
Cd 0.5000 0.5000 0.5000 x1  2 N 2.06
I 0.0000 0.5000 0.5000 x2  2 Cd 2.96
N 0.5000 0.5000 0.0000 x1  2 Cd 2.06


(9)
A PBEsol-optimized structure of CrCd2In. Source: the Alexandria database, functional meta-GGA SCAN.

Results
* energy of formation from the pure elements: 0.128 eV per atom
* size of the total moment: 3.8 μB per cell
* DOS at the Fermi energy: 1.7 states/eV/cell

a b c (Å): 4.9819 3.1112 5.2494
angles (deg): 90.00 108.10 90.00
Closest atoms and distances in Å follow each position.
Space group P2/m (No. 10)
Symmetry-distinct sites (fractional):
Cr 0.0000 0.0000 0.0000 x1  4 In 2.94, 6 Cd 3.01-3.05, 2 Cr 3.11
Cd 0.0000 0.5000 0.5000 x1  6 Cd 2.94-3.11, 2 In 3.01, 4 Cr 3.05
Cd 0.5000 0.0000 0.5000 x1  6 Cd 2.94-3.11, 2 Cr 3.01, 4 In 3.05
In 0.5000 0.5000 0.0000 x1  4 Cr 2.94, 6 Cd 3.01-3.05, 2 In 3.11


(10)
A PBEsol-optimized structure of Cr2CdIn. Source: the Alexandria database, functional meta-GGA SCAN.

Results
* energy of formation from the pure elements: 0.230 eV per atom
* size of the total moment: 0.0 μB per cell
* DOS at the Fermi energy: 3.8 states/eV/cell

a b c (Å): 3.0555 4.6734 9.1369
angles (deg): 90.00 90.00 90.00
Closest atoms and distances in Å follow each position.
Space group Imm2 (No. 44)
Symmetry-distinct sites (fractional):
Cr 0.0000 0.0000 0.0000 x2  2 Cr 2.25
Cr 0.0000 0.5000 0.3190 x2  2 Cr 2.25
Cd 0.0000 0.5000 0.7687 x2  8 Cr 2.83-3.15, 4 In 2.98-3.08, 2 Cd 3.06
In 0.0000 0.0000 0.5490 x2  8 Cr 2.83-3.14, 4 Cd 2.98-3.08, 2 In 3.06


(11)
A PBEsol-optimized structure of CrCd2In. Source: the Alexandria database, functional meta-GGA SCAN.

Results
* energy of formation from the pure elements: 0.113 eV per atom
* size of the total moment: 7.0 μB per cell
* DOS at the Fermi energy: 3.9 states/eV/cell

a b c (Å): 12.4403 3.0077 4.6555
angles (deg): 90.00 111.91 90.00
Closest atoms and distances in Å follow each position.
Space group C2/m (No. 12)
Symmetry-distinct sites (fractional):
Cr 0.0000 0.0000 0.0000 x2  4 In 2.77, 4 Cd 2.80, 2 Cr 3.01
Cd 0.2044 0.5000 0.2045 x4  2 Cr 2.80, 6 Cd 2.96-3.01
In 0.0000 0.5000 0.5000 x2  4 Cr 2.77, 2 In 3.01


(12)
A PBEsol-optimized structure of CrCdInMo2. Source: the Alexandria database, functional meta-GGA SCAN.

Results
* energy of formation from the pure elements: 1.802 eV per atom
* size of the total moment: 1.4 μB per cell
* DOS at the Fermi energy: 2.9 states/eV/cell

a b c (Å): 4.9325 4.9325 4.7275
angles (deg): 90.00 90.00 90.00
Closest atoms and distances in Å follow each position.
Space group P4/mmm (No. 123)
Symmetry-distinct sites (fractional):
Cr 0.0000 0.0000 0.0000 x1  2 Cd 2.36
Cd 0.0000 0.0000 0.5000 x1  2 Cr 2.36, 4 Mo 2.47
In 0.5000 0.5000 0.0000 x1  8 Mo 3.42, 4 Cr 3.49
Mo 0.0000 0.5000 0.5000 x2  2 Cd 2.47